Entry from Alexandria via LeMat-Bulk: crystalline LiCeGePt at its relaxed geometry (PBE).

Summary:
magnetization	0.92	μB per formula unit
formation enthalpy at 0 K	-66.93	kJ per mole of atoms
uncorrected energy	-5.320	eV/atom

a = 6.676 Å, b = 6.676 Å, c = 6.676 Å
α = 90.00°, β = 90.00°, γ = 90.00°
Fractional coordinates of all 16 atoms:
Li 0.000 0.000 0.000
Li 0.000 0.500 0.500
Li 0.500 0.000 0.500
Li 0.500 0.500 0.000
Ce 0.250 0.250 0.750
Ce 0.250 0.750 0.250
Ce 0.750 0.250 0.250
Ce 0.750 0.750 0.750
Ge 0.250 0.250 0.250
Ge 0.250 0.750 0.750
Ge 0.750 0.250 0.750
Ge 0.750 0.750 0.250
Pt 0.000 0.000 0.500
Pt 0.000 0.500 0.000
Pt 0.500 0.000 0.000
Pt 0.500 0.500 0.500

=====

Entry from Alexandria via LeMat-Bulk: crystalline LiCeGe2Pt2 at its relaxed geometry (PBE).

Summary:
magnetization	0.37	μB per formula unit
formation enthalpy at 0 K	-83.06	kJ per mole of atoms
uncorrected energy	-5.722	eV/atom

a = 4.366 Å, b = 4.366 Å, c = 6.624 Å
α = 90.00°, β = 90.00°, γ = 120.00°
Fractional coordinates of all 6 atoms:
Li 0.000 0.000 0.000
Ce 0.000 0.000 0.500
Ge 0.333 0.667 0.802
Ge 0.667 0.333 0.198
Pt 0.333 0.667 0.211
Pt 0.667 0.333 0.789

=====

Entry from Alexandria via LeMat-Bulk: crystalline LiCeGePt3 at its relaxed geometry (PBE).

Summary:
magnetization	0.63	μB per formula unit
formation enthalpy at 0 K	-64.56	kJ per mole of atoms
uncorrected energy	-5.767	eV/atom

a = 7.001 Å, b = 7.001 Å, c = 5.821 Å
α = 90.00°, β = 90.00°, γ = 132.00°
Fractional coordinates of all 12 atoms:
Li 0.113 0.887 0.750
Li 0.887 0.113 0.250
Ce 0.323 0.677 0.750
Ce 0.677 0.323 0.250
Ge 0.378 0.622 0.250
Ge 0.622 0.378 0.750
Pt 0.181 0.819 0.250
Pt 0.244 0.244 0.000
Pt 0.244 0.244 0.500
Pt 0.756 0.756 0.000
Pt 0.756 0.756 0.500
Pt 0.819 0.181 0.750

=====

Entry from Alexandria via LeMat-Bulk: crystalline LiCe2Ge3Pt6 at its relaxed geometry (PBE).

Summary:
magnetization	1.64	μB per formula unit
formation enthalpy at 0 K	-58.18	kJ per mole of atoms
uncorrected energy	-5.926	eV/atom

a = 4.089 Å, b = 4.089 Å, c = 15.236 Å
α = 90.00°, β = 90.00°, γ = 90.00°
Fractional coordinates of all 12 atoms:
Li 0.000 0.000 0.000
Ce 0.000 0.000 0.275
Ce 0.000 0.000 0.725
Ge 0.500 0.500 0.183
Ge 0.500 0.500 0.500
Ge 0.500 0.500 0.817
Pt 0.000 0.500 0.096
Pt 0.000 0.500 0.904
Pt 0.500 0.000 0.096
Pt 0.500 0.000 0.904
Pt 0.500 0.500 0.345
Pt 0.500 0.500 0.655

=====

Entry from Alexandria via LeMat-Bulk: crystalline LiCe2GePt6 at its relaxed geometry (PBE).

Summary:
magnetization	1.06	μB per formula unit
formation enthalpy at 0 K	-69.90	kJ per mole of atoms
uncorrected energy	-6.189	eV/atom

a = 8.279 Å, b = 8.279 Å, c = 8.279 Å
α = 39.39°, β = 39.39°, γ = 39.39°
Fractional coordinates of all 10 atoms:
Li 0.000 0.000 0.000
Ce 0.296 0.296 0.296
Ce 0.704 0.704 0.704
Ge 0.500 0.500 0.500
Pt 0.242 0.752 0.752
Pt 0.248 0.248 0.758
Pt 0.248 0.758 0.248
Pt 0.752 0.242 0.752
Pt 0.752 0.752 0.242
Pt 0.758 0.248 0.248

=====

Entry from Alexandria via LeMat-Bulk: crystalline Li2CePu2Ge2 at its relaxed geometry (PBE).

Summary:
magnetization	0.81	μB per formula unit
formation enthalpy at 0 K	-19.67	kJ per mole of atoms
uncorrected energy	-7.012	eV/atom

a = 9.348 Å, b = 9.348 Å, c = 9.348 Å
α = 24.99°, β = 24.99°, γ = 24.99°
Fractional coordinates of all 7 atoms:
Li 0.080 0.080 0.080
Li 0.920 0.920 0.920
Ce 0.500 0.500 0.500
Pu 0.348 0.348 0.348
Pu 0.652 0.652 0.652
Ge 0.241 0.241 0.241
Ge 0.759 0.759 0.759

=====

Entry from Alexandria via LeMat-Bulk: crystalline LiCe2Ge3Rh4 at its relaxed geometry (PBE).

Summary:
magnetization	1.31	μB per formula unit
formation enthalpy at 0 K	-78.13	kJ per mole of atoms
uncorrected energy	-6.514	eV/atom

a = 4.105 Å, b = 4.105 Å, c = 10.658 Å
α = 90.00°, β = 90.00°, γ = 90.00°
Fractional coordinates of all 10 atoms:
Li 0.000 0.000 0.000
Ce 0.000 0.500 0.756
Ce 0.500 0.000 0.244
Ge 0.000 0.500 0.372
Ge 0.500 0.000 0.628
Ge 0.500 0.500 0.000
Rh 0.000 0.000 0.500
Rh 0.000 0.500 0.141
Rh 0.500 0.000 0.859
Rh 0.500 0.500 0.500

=====

Entry from Alexandria via LeMat-Bulk: crystalline LiCeGe2Rh at its relaxed geometry (PBE).

Summary:
magnetization	0.39	μB per formula unit
formation enthalpy at 0 K	-66.94	kJ per mole of atoms
uncorrected energy	-5.581	eV/atom

a = 4.165 Å, b = 4.165 Å, c = 10.493 Å
α = 90.00°, β = 90.00°, γ = 90.00°
Fractional coordinates of all 10 atoms:
Li 0.000 0.000 0.000
Li 0.500 0.500 0.500
Ce 0.000 0.500 0.750
Ce 0.500 0.000 0.250
Ge 0.000 0.500 0.130
Ge 0.000 0.500 0.370
Ge 0.500 0.000 0.630
Ge 0.500 0.000 0.870
Rh 0.000 0.000 0.500
Rh 0.500 0.500 0.000

=====

magnetization of number 1 (LiCeGePt)? 0.92 μB per formula unit

=====

Look up the magnetization of the second one. 0.37 μB per formula unit

=====

Number 3 is which compound? LiCeGePt3